# 1
## CuH6Pd8 (PBE)

Data for crystalline CuH6Pd8 at its relaxed geometry.

abc: 2.875 7.881 7.881
angles: 120.00 90.00 90.00
Positions (direct):
Pd 0.793 0.667 0.979
Cu 0.500 0.000 0.000
Pd 0.793 0.021 0.688
H 0.300 0.856 0.557
H 0.700 0.300 0.856
H 0.700 0.144 0.443
H 0.300 0.443 0.300
Pd 0.793 0.312 0.333
Pd 0.207 0.333 0.021
Pd 0.651 0.667 0.333
Pd 0.349 0.333 0.667
H 0.700 0.557 0.700
Pd 0.207 0.979 0.312
Pd 0.207 0.688 0.667
H 0.300 0.700 0.144

Results
The value obtained for the total energy is -66.76 eV/f.u. Its energy relative to the lowest polymorph listed for this composition is 11 meV per atom. The density of states at the Fermi level is 5.65 states/eV/cell. Its space group is P-3.

---

# 2
## HgAs2Ru (PBE)

Data for crystalline HgAs2Ru at its relaxed geometry.

abc: 4.685 4.685 4.685
angles: 60.00 60.00 60.00
Positions (direct):
Hg 0.500 0.500 0.500
As 0.250 0.250 0.250
As 0.000 0.000 0.000
Ru 0.750 0.750 0.750

Results
The value obtained for the total energy is -16.30 eV/f.u. Its formation energy from the elements is 62.0 kJ per mole of atoms. The density of states at the Fermi level is 3.01 states/eV/cell. Its space group is F-43m.

---

# 3
## Tc2PbW (PBE)

Data for crystalline Tc2PbW at its relaxed geometry.

abc: 2.926 2.926 9.056
angles: 90.00 90.00 112.58
Positions (direct):
W 0.500 0.500 0.250
Pb 0.500 0.500 0.750
Tc 0.000 0.000 0.473
Tc 0.000 0.000 0.027

Results
The value obtained for the total energy is -35.03 eV/f.u. Its formation energy from the elements is 57.0 kJ per mole of atoms. The density of states at the Fermi level is 5.09 states/eV/cell. Its space group is Cmmm.

---

# 4
## GaSnTeI2 (PBE)

Data for crystalline GaSnTeI2 at its relaxed geometry.

abc: 6.081 6.081 5.818
angles: 90.00 90.00 90.00
Positions (direct):
Te 0.000 0.000 0.500
I 0.500 0.000 0.000
Sn 0.000 0.000 0.000
I 0.000 0.500 0.000
Ga 0.500 0.500 0.500

Results
The value obtained for the total energy is -13.29 eV/f.u. Its energy relative to the lowest polymorph listed for this composition is 0 meV per atom. The formation energy (no corrections) is -3 meV/atom. The density of states at the Fermi level is 6.57 states/eV/cell. Its space group is P4/mmm.